Below is CaBr2O5 after structural relaxation, with properties calculated at the GGA-PBE level.

abc: 7.779 7.198 10.449
angles: 90.00 86.36 90.00
Sites, in units of the cell vectors:
Ca 0.752 0.009 0.954
Ca 0.248 0.509 0.546
Ca 0.248 0.991 0.046
Ca 0.752 0.491 0.454
Br 0.060 0.365 0.855
Br 0.526 0.238 0.734
Br 0.940 0.865 0.645
Br 0.474 0.738 0.766
Br 0.940 0.635 0.145
Br 0.474 0.762 0.266
Br 0.060 0.135 0.355
Br 0.526 0.262 0.234
O 0.203 0.038 0.446
O 0.797 0.538 0.054
O 0.797 0.962 0.554
O 0.203 0.462 0.946
O 0.728 0.267 0.296
O 0.163 0.197 0.214
O 0.272 0.767 0.204
O 0.837 0.697 0.286
O 0.272 0.733 0.704
O 0.837 0.802 0.786
O 0.728 0.233 0.796
O 0.163 0.303 0.714
O 0.030 0.350 0.427
O 0.535 0.072 0.120
O 0.970 0.850 0.073
O 0.465 0.572 0.380
O 0.970 0.650 0.573
O 0.465 0.928 0.880
O 0.030 0.150 0.927
O 0.535 0.428 0.620

Formation energy without anion corrections (eV per atom): -0.669
Volume (Å³ per cell): 584
Symmetry: No. 14
Calculated total energy (eV/f.u.): -35.5